This record from Alexandria describes TbTh2Se3 after structural relaxation. The functional is PBE-GGA.

POSCAR file:
```
TbTh2Se3
1.0
7.0721 0.0060 -1.1789
-3.7870 5.9728 -1.1789
0.0072 0.0132 7.2688
Tb Th Se
2 4 6
Cartesian
-3.7695 5.9803 6.0899 Tb
3.4422 2.0005 -1.1789 Tb
5.2659 1.0070 2.4555 Th
-0.1673 3.9838 -1.1789 Th
-1.9161 4.9533 2.4555 Th
1.5888 3.0275 2.4555 Th
0.7054 5.5721 3.7546 Se
-1.0327 2.4087 1.1564 Se
4.2271 3.5136 3.7380 Se
0.8666 1.4682 4.9169 Se
2.5931 0.5399 1.1730 Se
2.5178 4.4732 -0.0059 Se
```

Values from the calculation:
Electronic total energy ... -6.594 eV per atom
ΔE_f (raw) ... -1.61 eV per atom
Crystal system ... monoclinic
Mass density ... 9.29 g cm⁻³



This record from Alexandria describes Ca2EuBi after structural relaxation. The functional is PBE-GGA.

POSCAR file:
```
Ca2EuBi
1.0
5.2189 0.0000 0.0000
0.0000 5.1099 0.0000
0.0000 0.0000 5.1099
Eu Ca Bi
1 2 1
Cartesian
2.6095 2.5549 2.5549 Eu
0.0000 0.0000 2.5549 Ca
0.0000 2.5549 0.0000 Ca
2.6095 0.0000 0.0000 Bi
```

Values from the calculation:
Relative energy among the computed polymorphs ... 0 meV/atom
Electronic total energy ... -5.007 eV per atom
Crystal system ... tetragonal
Mass density ... 5.38 g cm⁻³
Formation enthalpy at 0 K ... -0.47 eV/atom



This record from Alexandria describes AlPtO2F after structural relaxation. The functional is PBE-GGA.

POSCAR file:
```
AlPtO2F
1.0
-2.5591 -2.5119 1.3781
1.7614 -2.8367 -1.8997
2.0713 -0.5808 2.7877
O Al Pt F
2 1 1 1
Cartesian
0.8807 -1.4183 -0.9498 O
-1.2795 -1.2560 0.6891 O
0.0000 0.0000 0.0000 Al
0.6368 -2.9647 1.1331 Pt
1.0356 -0.2904 1.3938 F
```

Values from the calculation:
Electronic total energy ... -5.620 eV per atom
ΔE_f (raw) ... -1.31 eV per atom
Crystal system ... tetragonal
Mass density ... 8.73 g cm⁻³



This record from Alexandria describes Pm3SmHo3Te8 after structural relaxation. The functional is PBE-GGA.

POSCAR file:
```
Pm3SmHo3Te8
1.0
8.7635 0.0000 0.0000
-4.3818 7.5894 -0.0264
0.0000 -5.0348 7.1969
Pm Sm Ho Te
3 1 3 8
Cartesian
0.0000 0.0000 0.0000 Pm
-2.1909 3.7947 -0.0132 Pm
2.1909 3.7947 -0.0132 Pm
0.0000 -2.5174 3.5984 Sm
4.3818 -2.5174 3.5984 Ho
2.1909 1.2773 3.5853 Ho
-2.1909 1.2773 3.5853 Ho
0.0000 2.5362 1.8602 Te
4.3818 0.0184 5.3103 Te
4.3818 2.4263 1.7842 Te
0.0000 0.1283 5.3863 Te
6.4779 -1.2039 1.7968 Te
-2.0961 3.7585 5.3737 Te
2.2857 -1.2039 1.7968 Te
2.0961 3.7585 5.3737 Te
```

Values from the calculation:
Electronic total energy ... -5.257 eV per atom
ΔE_f (raw) ... -1.40 eV per atom
Crystal system ... trigonal
Mass density ... 7.31 g cm⁻³



Which of these has the lowest electronic total energy?
TbTh2Se3



Among the records above, which one has the lowest mass density?
Ca2EuBi



Copy entry 1 word for word.
This record from Alexandria describes TbTh2Se3 after structural relaxation. The functional is PBE-GGA.

POSCAR file:
```
TbTh2Se3
1.0
7.0721 0.0060 -1.1789
-3.7870 5.9728 -1.1789
0.0072 0.0132 7.2688
Tb Th Se
2 4 6
Cartesian
-3.7695 5.9803 6.0899 Tb
3.4422 2.0005 -1.1789 Tb
5.2659 1.0070 2.4555 Th
-0.1673 3.9838 -1.1789 Th
-1.9161 4.9533 2.4555 Th
1.5888 3.0275 2.4555 Th
0.7054 5.5721 3.7546 Se
-1.0327 2.4087 1.1564 Se
4.2271 3.5136 3.7380 Se
0.8666 1.4682 4.9169 Se
2.5931 0.5399 1.1730 Se
2.5178 4.4732 -0.0059 Se
```

Values from the calculation:
Electronic total energy ... -6.594 eV per atom
ΔE_f (raw) ... -1.61 eV per atom
Crystal system ... monoclinic
Mass density ... 9.29 g cm⁻³